{"formula": "RbMn2O4", "functional": "PBE with a Hubbard U", "state": "optimized geometry", "cell": [[0.491, 5.795, 2.863], [-0.573, -5.224, 3.796], [5.502, 0.731, -3.349]], "species": ["O", "O", "Mn", "Rb", "O", "Mn", "O", "O", "O", "Mn", "O", "O", "Mn", "Rb"], "fractional_positions": [[0.596, 0.193, 0.790], [0.540, 0.693, 0.846], [0.875, 0.250, 0.625], [0.750, 0.500, 0.250], [0.154, 0.693, 0.847], [0.375, 0.750, 0.625], [0.596, 0.807, 0.403], [0.597, 0.193, 0.404], [0.210, 0.807, 0.404], [0.375, 0.250, 0.625], [0.154, 0.307, 0.460], [0.153, 0.307, 0.846], [0.375, 0.750, 0.125], [0.000, 0.000, 0.000]], "crystal_system": "tetragonal", "final_energy_ev_per_atom": -6.363, "n_ef_per_ev_atom": 0.521}